No. 1
First-principles (PBE-GGA) data for a relaxed structure of LaSc2Si2, as listed in Alexandria via LeMat-Bulk.

Values from the calculation:
* excess energy over the best structure of this formula in the dataset: 359.7 meV per atom
* volume: 124 Å³ per cell
* formation energy from raw total energies: -338.3 meV per atom

Cell: 6.1822 6.1822 6.1822 Å, 132.99 132.99 68.67°
Sites, in units of the cell vectors:
La  0.0000  0.0000  0.0000
Sc  0.3368  0.3368  0.0000
Sc  0.6632  0.6632  0.0000
Si  0.2500  0.7500  0.5000
Si  0.7500  0.2500  0.5000


No. 2
First-principles (PBE-GGA) data for a relaxed structure of LaScSi4, as listed in Alexandria via LeMat-Bulk.

Values from the calculation:
* excess energy over the best structure of this formula in the dataset: 0.0 meV per atom
* volume: 472 Å³ per cell
* formation energy from raw total energies: -530.9 meV per atom

Cell: 7.4950 15.7752 3.9927 Å, 90.00 90.00 90.00°
Sites, in units of the cell vectors:
La  0.1260  0.1605  0.0000
La  0.3740  0.6605  0.0000
La  0.6260  0.3395  0.0000
La  0.8740  0.8395  0.0000
Sc  0.1318  0.4134  0.0000
Sc  0.3682  0.9134  0.0000
Sc  0.6318  0.0866  0.0000
Sc  0.8682  0.5866  0.0000
Si  0.0279  0.6881  0.5000
Si  0.1159  0.9498  0.5000
Si  0.1329  0.5442  0.5000
Si  0.2134  0.8057  0.5000
Si  0.2866  0.3057  0.5000
Si  0.3671  0.0442  0.5000
Si  0.3841  0.4498  0.5000
Si  0.4721  0.1881  0.5000
Si  0.5279  0.8119  0.5000
Si  0.6159  0.5502  0.5000
Si  0.6329  0.9558  0.5000
Si  0.7134  0.6943  0.5000
Si  0.7866  0.1943  0.5000
Si  0.8671  0.4558  0.5000
Si  0.8841  0.0502  0.5000
Si  0.9721  0.3119  0.5000


No. 3
First-principles (PBE-GGA) data for a relaxed structure of La2ScSi, as listed in Alexandria via LeMat-Bulk.

Values from the calculation:
* volume: 228 Å³ per cell
* formation energy from raw total energies: -50.9 meV per atom

Cell: 6.8867 6.8867 6.8867 Å, 100.52 100.52 129.41°
Sites, in units of the cell vectors:
La  0.0806  0.1250  0.4556
La  0.3750  0.9194  0.0444
La  0.6694  0.6250  0.5444
La  0.8750  0.3306  0.9556
Sc  0.2500  0.7500  0.5000
Sc  0.5000  0.5000  0.0000
Si  0.0000  0.0000  0.0000
Si  0.7500  0.2500  0.5000


No. 4
First-principles (PBE-GGA) data for a relaxed structure of LaScSi2, as listed in Alexandria via LeMat-Bulk.

Values from the calculation:
* excess energy over the best structure of this formula in the dataset: 312.7 meV per atom
* volume: 86 Å³ per cell
* formation energy from raw total energies: -371.3 meV per atom

Cell: 5.1482 5.1482 3.3386 Å, 90.00 90.00 104.06°
Sites, in units of the cell vectors:
La  0.0000  0.0000  0.0000
Sc  0.5000  0.5000  0.0000
Si  0.0000  0.5000  0.5000
Si  0.5000  0.0000  0.5000


No. 5
First-principles (PBE-GGA) data for a relaxed structure of LaScSi2, as listed in Alexandria via LeMat-Bulk.

Values from the calculation:
* excess energy over the best structure of this formula in the dataset: 126.9 meV per atom
* volume: 90 Å³ per cell
* formation energy from raw total energies: -557.1 meV per atom

Cell: 6.3840 6.3840 6.3840 Å, 146.46 140.84 52.49°
Sites, in units of the cell vectors:
La  0.0000  0.0000  0.0000
Sc  0.2586  0.7586  0.5000
Si  0.6003  0.6003  0.0000
Si  0.7429  0.2429  0.5000


No. 6
First-principles (PBE-GGA) data for a relaxed structure of LaScSi2, as listed in Alexandria via LeMat-Bulk.

Values from the calculation:
* excess energy over the best structure of this formula in the dataset: 0.0 meV per atom
* volume: 89 Å³ per cell
* formation energy from raw total energies: -684.0 meV per atom

Cell: 3.8393 5.8183 5.8183 Å, 43.21 90.00 90.00°
Sites, in units of the cell vectors:
La  0.0000  0.0000  0.0000
Sc  0.5000  0.2739  0.2739
Si  0.0000  0.7234  0.7234
Si  0.5000  0.5807  0.5807


No. 7
First-principles (PBE-GGA) data for a relaxed structure of La2ScSi, as listed in Alexandria via LeMat-Bulk.

Values from the calculation:
* volume: 116 Å³ per cell
* formation energy from raw total energies: -320.2 meV per atom

Cell: 4.5235 6.3916 6.3916 Å, 38.85 90.00 90.00°
Sites, in units of the cell vectors:
La  0.0000  0.0000  0.0000
La  0.5000  0.2949  0.2949
Sc  0.5000  0.5906  0.5906
Si  0.0000  0.7166  0.7166


No. 8
First-principles (PBE-GGA) data for a relaxed structure of LaSc3Si, as listed in Alexandria via LeMat-Bulk.

Values from the calculation:
* excess energy over the best structure of this formula in the dataset: 0.0 meV per atom
* volume: 137 Å³ per cell
* formation energy from raw total energies: -56.3 meV per atom

Cell: 5.1571 5.1571 5.1571 Å, 90.00 90.00 90.00°
Sites, in units of the cell vectors:
La  0.0000  0.0000  0.0000
Sc  0.0000  0.5000  0.5000
Sc  0.5000  0.0000  0.5000
Sc  0.5000  0.5000  0.0000
Si  0.5000  0.5000  0.5000


No. 9
First-principles (PBE-GGA) data for a relaxed structure of La2ScSi2, as listed in Alexandria via LeMat-Bulk.

Values from the calculation:
* excess energy over the best structure of this formula in the dataset: 529.9 meV per atom
* volume: 257 Å³ per cell
* formation energy from raw total energies: -164.6 meV per atom

Cell: 8.5645 8.5645 3.5104 Å, 90.00 90.00 90.00°
Sites, in units of the cell vectors:
La  0.1256  0.3744  0.0000
La  0.3744  0.8744  0.0000
La  0.6256  0.1256  0.0000
La  0.8744  0.6256  0.0000
Sc  0.0000  0.0000  0.0000
Sc  0.5000  0.5000  0.0000
Si  0.1752  0.6752  0.5000
Si  0.3248  0.1752  0.5000
Si  0.6752  0.8248  0.5000
Si  0.8248  0.3248  0.5000


No. 10
First-principles (PBE-GGA) data for a relaxed structure of La2ScSi2, as listed in Alexandria via LeMat-Bulk.

Values from the calculation:
* excess energy over the best structure of this formula in the dataset: 0.0 meV per atom
* volume: 253 Å³ per cell
* formation energy from raw total energies: -694.5 meV per atom

Cell: 7.4611 7.4611 4.5433 Å, 90.00 90.00 90.00°
Sites, in units of the cell vectors:
La  0.1781  0.3219  0.0000
La  0.3219  0.8219  0.0000
La  0.6781  0.1781  0.0000
La  0.8219  0.6781  0.0000
Sc  0.0000  0.0000  0.5000
Sc  0.5000  0.5000  0.5000
Si  0.1173  0.6173  0.5000
Si  0.3827  0.1173  0.5000
Si  0.6173  0.8827  0.5000
Si  0.8827  0.3827  0.5000


No. 11
First-principles (PBE-GGA) data for a relaxed structure of LaScSi2, as listed in Alexandria via LeMat-Bulk.

Values from the calculation:
* excess energy over the best structure of this formula in the dataset: 297.8 meV per atom
* volume: 86 Å³ per cell
* formation energy from raw total energies: -386.1 meV per atom

Cell: 4.5852 4.5852 4.1096 Å, 90.00 90.00 90.00°
Sites, in units of the cell vectors:
La  0.0000  0.0000  0.0000
Sc  0.5000  0.5000  0.0000
Si  0.0000  0.5000  0.5000
Si  0.5000  0.0000  0.5000


No. 12
First-principles (PBE-GGA) data for a relaxed structure of LaScSi2, as listed in Alexandria via LeMat-Bulk.

Values from the calculation:
* excess energy over the best structure of this formula in the dataset: 230.1 meV per atom
* volume: 90 Å³ per cell
* formation energy from raw total energies: -453.9 meV per atom

Cell: 4.9437 4.9437 4.9437 Å, 119.59 109.46 99.97°
Sites, in units of the cell vectors:
La  0.0000  0.0000  0.0000
Sc  0.5000  0.5000  0.0000
Si  0.3024  0.8024  0.5000
Si  0.6976  0.1976  0.5000


Question: volume of number 6 (LaScSi2)?
Answer: 89 Å³ per cell


Question: Number 8 is which compound?
Answer: LaSc3Si


Question: What is the formation energy from raw total energies in the ninth record?
Answer: -164.6 meV per atom


Question: volume of number 8 (LaSc3Si)?
Answer: 137 Å³ per cell